# 1
Material: Li2Ag2Bi
Method: DFT, PBE-GGA
State: relaxed

spin magnetization	0.0	μB/f.u.
SG	I4/mmm (139)
DFT formation energy	0.0046	eV per atom
theoretical density	7.00	Mg/m³
ΔE to the lowest computed polymorph	0.2694	eV/atom

Lattice parameters (Å, degrees): 6.5076 6.5076 6.5076 141.93 141.93 54.93
Positions (direct):
Li: 0.2500 0.7500 0.5000
Li: 0.7500 0.2500 0.5000
Ag: 0.1156 0.1156 0.0000
Ag: 0.8844 0.8844 0.0000
Bi: 0.5000 0.5000 0.0000

# 2
Material: Li2Ag2Bi3
Method: DFT, PBE-GGA
State: relaxed

spin magnetization	0.0	μB/f.u.
SG	P-1 (2)
DFT formation energy	-0.1494	eV per atom
theoretical density	8.59	Mg/m³

Lattice parameters (Å, degrees): 4.3626 5.5532 7.3736 91.45 90.64 111.99
Positions (direct):
Li: 0.0740 0.1581 0.2421
Li: 0.9260 0.8419 0.7579
Ag: 0.2113 0.4243 0.6266
Ag: 0.7887 0.5757 0.3734
Bi: 0.3507 0.7103 0.0830
Bi: 0.5000 0.0000 0.5000
Bi: 0.6493 0.2897 0.9170

# 3
Material: LiAgBi2
Method: DFT, PBE-GGA
State: relaxed

spin magnetization	0.0	μB/f.u.
SG	Fm-3m (225)
DFT formation energy	-0.1080	eV per atom
theoretical density	9.06	Mg/m³
ΔE to the lowest computed polymorph	0.0291	eV/atom

Lattice parameters (Å, degrees): 5.1686 5.1686 5.1686 60.00 60.00 60.00
Positions (direct):
Li: 0.0000 0.0000 0.0000
Ag: 0.5000 0.5000 0.5000
Bi: 0.2500 0.2500 0.2500
Bi: 0.7500 0.7500 0.7500

# 4
Material: Li6Ag2Bi
Method: DFT, PBE-GGA
State: relaxed

spin magnetization	0.0	μB/f.u.
SG	P6/mmm (191)
DFT formation energy	-0.2085	eV per atom
theoretical density	4.74	Mg/m³
ΔE to the lowest computed polymorph	0.0000	eV/atom

Lattice parameters (Å, degrees): 7.7757 7.7757 3.1189 90.00 90.00 120.00
Positions (direct):
Li: 0.0000 0.3374 0.0000
Li: 0.0000 0.6626 0.0000
Li: 0.3374 0.0000 0.0000
Li: 0.3374 0.3374 0.0000
Li: 0.6626 0.0000 0.0000
Li: 0.6626 0.6626 0.0000
Ag: 0.3333 0.6667 0.5000
Ag: 0.6667 0.3333 0.5000
Bi: 0.0000 0.0000 0.5000

Among the records above, which one has the lowest DFT formation energy?
Li6Ag2Bi

Look up the DFT formation energy of the fourth one.
-0.2085 eV per atom